Below is a geometry-optimized Cd2SiMo structure, with properties calculated at the GGA-PBE level.

Cell lengths 6.559, 6.559, 6.559 Å; angles 90.00, 90.00, 90.00 degrees
Element x y z (fractional)
Cd1 0.000 0.000 0.000
Cd2 0.000 0.500 0.500
Cd3 0.250 0.250 0.250
Cd4 0.250 0.750 0.750
Cd5 0.500 0.000 0.500
Cd6 0.500 0.500 0.000
Cd7 0.750 0.250 0.750
Cd8 0.750 0.750 0.250
Si1 0.250 0.250 0.750
Si2 0.250 0.750 0.250
Si3 0.750 0.250 0.250
Si4 0.750 0.750 0.750
Mo1 0.000 0.000 0.500
Mo2 0.000 0.500 0.000
Mo3 0.500 0.000 0.000
Mo4 0.500 0.500 0.500

Values from the calculation:
- Energy relative to the elements, uncorrected: 2.3 eV per formula unit
- Calculated total energy: -3.94 eV per atom

Below is a geometry-optimized Mg3PaIr3 structure, with properties calculated at the GGA-PBE level.

Cell lengths 5.534, 5.534, 5.534 Å; angles 109.18, 109.18, 109.18 degrees
Element x y z (fractional)
Mg1 0.000 0.500 0.500
Mg2 0.500 0.000 0.500
Mg3 0.500 0.500 0.000
Pa1 0.000 0.000 0.000
Ir1 0.000 0.000 0.500
Ir2 0.000 0.500 0.000
Ir3 0.500 0.000 0.000

Values from the calculation:
- Energy of formation: -486.1 meV per atom
- Calculated total energy: -6.32 eV per atom

Below is a geometry-optimized Li2NdMgAg2 structure, with properties calculated at the GGA-PBE level.

Cell lengths 4.657, 4.657, 6.738 Å; angles 90.00, 90.00, 120.00 degrees
Element x y z (fractional)
Li1 0.333 0.667 0.184
Li2 0.667 0.333 0.816
Nd1 0.000 0.000 0.500
Mg1 0.000 0.000 0.000
Ag1 0.333 0.667 0.779
Ag2 0.667 0.333 0.221

Values from the calculation:
- Energy of formation: -176.0 meV per atom
- Calculated total energy: -2.82 eV per atom

Below is a geometry-optimized BIrSe2Br structure, with properties calculated at the GGA-PBE level.

Cell lengths 4.857, 4.857, 5.264 Å; angles 90.00, 90.00, 90.00 degrees
Element x y z (fractional)
B1 0.000 0.000 0.000
Ir1 0.500 0.500 0.500
Se1 0.000 0.500 0.500
Se2 0.500 0.000 0.500
Br1 0.500 0.500 0.000

Values from the calculation:
- Energy relative to the elements, uncorrected: 6.2 eV per formula unit
- Polymorph energy (0 for the lowest one): 0.014 eV/atom
- Calculated total energy: -3.59 eV per atom

Below is a geometry-optimized Pm2Y2Ho structure, with properties calculated at the GGA-PBE level.

Cell lengths 6.244, 3.610, 14.708 Å; angles 90.00, 98.20, 90.00 degrees
Element x y z (fractional)
Pm1 0.133 0.000 0.396
Pm2 0.367 0.500 0.604
Pm3 0.633 0.500 0.396
Pm4 0.867 0.000 0.604
Y1 0.101 0.500 0.804
Y2 0.399 0.000 0.196
Y3 0.601 0.000 0.804
Y4 0.899 0.500 0.196
Ho1 0.000 0.000 0.000
Ho2 0.500 0.500 0.000

Values from the calculation:
- Polymorph energy (0 for the lowest one): 0.000 eV/atom
- Energy of formation: 6.7 meV per atom
- Calculated total energy: -5.39 eV per atom

Below is a geometry-optimized Zn2CoRe structure, with properties calculated at the GGA-PBE level.

Cell lengths 2.596, 4.285, 4.866 Å; angles 90.00, 97.76, 90.00 degrees
Element x y z (fractional)
Zn1 0.182 0.000 0.258
Zn2 0.818 0.000 0.742
Co1 0.000 0.500 0.500
Re1 0.500 0.500 0.000

Values from the calculation:
- Polymorph energy (0 for the lowest one): 0.184 eV/atom
- Energy of formation: 201.1 meV per atom
- Calculated total energy: -5.32 eV per atom

Below is a geometry-optimized Ho6Tm12Zr structure, with properties calculated at the GGA-PBE level.

Cell lengths 8.360, 8.360, 8.360 Å; angles 88.43, 88.43, 88.43 degrees
Element x y z (fractional)
Ho1 0.197 0.753 0.590
Ho2 0.247 0.410 0.803
Ho3 0.410 0.803 0.247
Ho4 0.590 0.197 0.753
Ho5 0.753 0.590 0.197
Ho6 0.803 0.247 0.410
Tm1 0.038 0.942 0.278
Tm2 0.058 0.722 0.962
Tm3 0.150 0.489 0.299
Tm4 0.278 0.038 0.942
Tm5 0.299 0.150 0.489
Tm6 0.489 0.299 0.150
Tm7 0.511 0.701 0.850
Tm8 0.701 0.850 0.511
Tm9 0.722 0.962 0.058
Tm10 0.850 0.511 0.701
Tm11 0.942 0.278 0.038
Tm12 0.962 0.058 0.722
Zr1 0.500 0.500 0.500

Values from the calculation:
- Polymorph energy (0 for the lowest one): 0.000 eV/atom
- Energy of formation: 167.0 meV per atom
- Calculated total energy: -4.55 eV per atom

Below is a geometry-optimized Ho6ErTh structure, with properties calculated at the GGA-PBE level.

Cell lengths 5.007, 5.007, 9.932 Å; angles 90.00, 90.00, 90.00 degrees
Element x y z (fractional)
Ho1 0.000 0.000 0.000
Ho2 0.000 0.000 0.500
Ho3 0.000 0.500 0.249
Ho4 0.000 0.500 0.751
Ho5 0.500 0.000 0.249
Ho6 0.500 0.000 0.751
Er1 0.500 0.500 0.500
Th1 0.500 0.500 0.000

Values from the calculation:
- Polymorph energy (0 for the lowest one): 0.000 eV/atom
- Energy of formation: 33.2 meV per atom
- Calculated total energy: -4.90 eV per atom

Below is a geometry-optimized Th2MgInRu structure, with properties calculated at the GGA-PBE level.

Cell lengths 8.277, 3.993, 8.411 Å; angles 90.00, 108.16, 90.00 degrees
Element x y z (fractional)
Th1 0.010 0.250 0.225
Th2 0.341 0.750 0.585
Th3 0.659 0.250 0.415
Th4 0.990 0.750 0.775
Mg1 0.352 0.250 0.928
Mg2 0.648 0.750 0.072
In1 0.319 0.750 0.177
In2 0.681 0.250 0.823
Ru1 0.116 0.250 0.616
Ru2 0.884 0.750 0.384

Values from the calculation:
- Energy of formation: -342.1 meV per atom
- Calculated total energy: -6.03 eV per atom

Below is a geometry-optimized Ti2BeZnCl structure, with properties calculated at the GGA-PBE level.

Cell lengths 4.502, 4.502, 4.469 Å; angles 90.00, 90.00, 90.00 degrees
Element x y z (fractional)
Ti1 0.000 0.500 0.000
Ti2 0.500 0.000 0.000
Be1 0.000 0.000 0.000
Zn1 0.500 0.500 0.500
Cl1 0.000 0.000 0.500

Values from the calculation:
- Energy relative to the elements, uncorrected: 3.4 eV per formula unit
- Calculated total energy: -3.84 eV per atom

Below is a geometry-optimized PmSm3Hg3 structure, with properties calculated at the GGA-PBE level.

Cell lengths 9.502, 9.502, 5.196 Å; angles 90.00, 90.00, 120.00 degrees
Element x y z (fractional)
Pm1 0.333 0.667 0.250
Pm2 0.667 0.333 0.750
Sm1 0.007 0.246 0.750
Sm2 0.240 0.993 0.750
Sm3 0.246 0.240 0.250
Sm4 0.754 0.760 0.750
Sm5 0.760 0.007 0.250
Sm6 0.993 0.754 0.250
Hg1 0.059 0.612 0.750
Hg2 0.388 0.447 0.750
Hg3 0.447 0.059 0.250
Hg4 0.553 0.941 0.750
Hg5 0.612 0.553 0.250
Hg6 0.941 0.388 0.250

Values from the calculation:
- Energy of formation: -299.6 meV per atom
- Calculated total energy: -3.13 eV per atom

Below is a geometry-optimized PrSm2Er3S6 structure, with properties calculated at the GGA-PBE level.

Cell lengths 6.802, 6.802, 6.935 Å; angles 99.39, 99.39, 120.16 degrees
Element x y z (fractional)
Pr1 0.000 0.000 0.000
Sm1 0.334 0.666 0.000
Sm2 0.666 0.334 0.000
Er1 0.165 0.835 0.500
Er2 0.500 0.500 0.500
Er3 0.835 0.165 0.500
S1 0.089 0.427 0.268
S2 0.249 0.249 0.734
S3 0.427 0.089 0.268
S4 0.573 0.911 0.732
S5 0.751 0.751 0.266
S6 0.911 0.573 0.732

Values from the calculation:
- Energy relative to the elements, uncorrected: -24.0 eV per formula unit
- Calculated total energy: -6.39 eV per atom